Record 1
Compound: PrPuMg4
Source: Alexandria via LeMat-Bulk
Functional: GGA-PBE
Structure: relaxed

DFT formation energy	0.03	eV per atom
magnetic moment	5.85	μB per formula unit
DOS(E_F)	13.88	states/eV/cell

POSCAR file:
```
PrPuMg4
1.0
6.103 0.000 0.000
3.052 5.285 0.000
3.052 1.762 4.983
Pr Mg Pu
1 4 1
Cartesian
0.000 0.000 0.000
6.103 3.524 0.619
6.103 1.758 3.116
7.632 4.406 3.116
4.574 4.406 3.116
3.052 1.762 1.246
```

Record 2
Compound: Pr2PuMg
Source: Alexandria via LeMat-Bulk
Functional: GGA-PBE
Structure: relaxed

DFT formation energy	0.29	eV per atom
magnetic moment	6.23	μB per formula unit
DOS(E_F)	12.85	states/eV/cell

POSCAR file:
```
Pr2PuMg
1.0
-2.248 -2.553 -0.421
1.057 -3.036 -1.189
1.753 -5.673 11.102
Pr Mg Pu
2 1 1
Cartesian
1.177 -4.653 7.986
-0.615 -6.610 1.506
0.281 -5.632 4.746
0.000 0.000 0.000
```

DOS(E_F) of number 1 (PrPuMg4)? 13.88 states/eV/cell

What is the DFT formation energy in the second record? 0.29 eV per atom